(1)
VASP calculation (GGA-PBE) on MgZnAs2O after structural relaxation.

Lattice parameters (Å, degrees): 4.6840 3.8875 4.6840 90.00 90.00 90.00
Last column: nearest neighbours and their distance in Å.
Fractional positions:
Mg: 0.0000 0.5000 0.0000  2 O 1.94
As: 0.0000 0.0000 0.5000  2 O 2.34
As: 0.5000 0.0000 0.0000  2 O 2.34
Zn: 0.5000 0.5000 0.5000  8 As 3.04, 4 Mg 3.31
O: 0.0000 0.0000 0.0000  2 Mg 1.94

Energy relative to the elements, uncorrected ... -273 meV per atom
SG ... P4/mmm, No. 123

(2)
VASP calculation (GGA-PBE) on Mg2ZrAsO after structural relaxation.

Lattice parameters (Å, degrees): 5.8415 5.8415 4.9784 90.00 90.00 90.00
Last column: nearest neighbours and their distance in Å.
Fractional positions:
O: 0.5000 0.5000 0.5000  8 Mg 3.84, 4 As 4.13
As: 0.0000 0.0000 0.5000  2 Zr 2.49
Mg: 0.0000 0.5000 0.0000  2 Zr 2.92
Mg: 0.5000 0.0000 0.0000  2 Zr 2.92
Zr: 0.0000 0.0000 0.0000  2 As 2.49

Energy relative to the elements, uncorrected ... 999 meV per atom
SG ... P4/mmm, No. 123

(3)
VASP calculation (GGA-PBE) on Mg2ZrAsO after structural relaxation.

Lattice parameters (Å, degrees): 3.8979 6.1926 3.8979 90.00 90.00 90.00
Last column: nearest neighbours and their distance in Å.
Fractional positions:
O: 0.0000 0.0000 0.0000  4 Mg 1.95
As: 0.0000 0.5000 0.0000  4 Zr 2.76
Mg: 0.0000 0.0000 0.5000  2 O 1.95
Mg: 0.5000 0.0000 0.0000  2 O 1.95
Zr: 0.5000 0.5000 0.5000  4 As 2.76

Energy relative to the elements, uncorrected ... -945 meV per atom
SG ... P4/mmm, No. 123

(4)
VASP calculation (GGA-PBE) on MgAs2Os after structural relaxation.

Lattice parameters (Å, degrees): 4.7972 3.3017 4.7355 69.57 90.00 90.00
Last column: nearest neighbours and their distance in Å.
Fractional positions:
As: 0.0000 0.8161 0.9925  3 Mg 2.47-2.57, 2 Os 2.61
As: 0.5000 0.2142 0.1960  3 Os 2.52-2.53
Mg: 0.0000 0.5387 0.5483  3 As 2.47-2.57
Os: 0.5000 0.9310 0.7632  5 As 2.52-2.61

Formation enthalpy at 0 K ... 0.25 eV per formula unit
SG ... Amm2, No. 38

(5)
VASP calculation (GGA-PBE) on MgAs2Os after structural relaxation.

Lattice parameters (Å, degrees): 2.9910 2.9910 9.5918 90.00 90.00 120.44
Last column: nearest neighbours and their distance in Å.
Fractional positions:
As: 0.0000 0.0000 0.9641  2 Os 2.53
As: 0.0000 0.0000 0.5359  2 Os 2.53
Mg: 0.5000 0.5000 0.2500  6 Mg 2.97-2.99, 4 As 3.12
Os: 0.5000 0.5000 0.7500  4 As 2.53

Formation enthalpy at 0 K ... 1.34 eV per formula unit
SG ... Cmmm, No. 65

(6)
VASP calculation (GGA-PBE) on MgAs2Os after structural relaxation.

Lattice parameters (Å, degrees): 3.0711 3.0710 7.2961 90.00 90.00 90.00
Last column: nearest neighbours and their distance in Å.
Fractional positions:
As: 0.0000 0.0000 0.9646  4 Os 2.68
As: 0.0000 0.0000 0.5354  4 Os 2.68
Mg: 0.5000 0.5000 0.2500  8 As 3.01, 4 Mg 3.07
Os: 0.5000 0.5000 0.7500  8 As 2.68

Formation enthalpy at 0 K ... 0.34 eV per formula unit
SG ... P4/mmm, No. 123

(7)
VASP calculation (GGA-PBE) on MgAs2Os after structural relaxation.

Lattice parameters (Å, degrees): 4.5547 4.5547 6.3061 68.74 68.74 39.07
Last column: nearest neighbours and their distance in Å.
Fractional positions:
As: 0.9340 0.9340 0.1352  3 Os 2.41-2.45
As: 0.7726 0.7726 0.7481  2 Os 2.58, 3 Mg 2.69-2.81
Mg: 0.5640 0.5640 0.5199  3 As 2.69-2.81, 2 Os 2.92
Os: 0.2294 0.2294 0.0967  5 As 2.41-2.58

Formation enthalpy at 0 K ... -0.33 eV per formula unit
SG ... Cm, No. 8

(8)
VASP calculation (GGA-PBE) on MgAs2Os2 after structural relaxation.

Lattice parameters (Å, degrees): 4.0533 4.0533 6.1634 70.80 70.80 90.00
Last column: nearest neighbours and their distance in Å.
Fractional positions:
As: 0.7500 0.2500 0.5000  4 Os 2.50
As: 0.2500 0.7500 0.5000  4 Os 2.50
Os: 0.3842 0.3842 0.2317  4 As 2.50, 1 Os 2.53
Os: 0.6158 0.6158 0.7683  4 As 2.50, 1 Os 2.53
Mg: 0.0000 0.0000 0.0000  8 Os 3.13, 8 As 3.40

Formation enthalpy at 0 K ... 1.12 eV per formula unit
SG ... I4/mmm, No. 139